[1]
Below is a relaxed FeS2 crystal, with properties calculated at the GGA-PBEsol level. Values from VASP.

```
&SYSTEM
  ibrav = 0, nat = 12, ntyp = 2
/
ATOMIC_SPECIES
S 32.06 S.upf
Fe 55.84 Fe.upf
CELL_PARAMETERS angstrom
5.319 0.000 0.000
0.000 5.319 0.000
0.000 0.000 5.319
ATOMIC_POSITIONS crystal
S 0.382 0.118 0.882
S 0.618 0.618 0.618
S 0.118 0.882 0.382
S 0.618 0.882 0.118
S 0.882 0.118 0.618
S 0.118 0.618 0.882
S 0.382 0.382 0.382
S 0.882 0.382 0.118
Fe 0.500 0.000 0.500
Fe 0.000 0.000 0.000
Fe 0.500 0.500 0.000
Fe 0.000 0.500 0.500
```

E_form (uncorrected): -0.6958 eV/atom
Raw total energy: -79.28 eV for the cell shown
Size of the total moment: 0.001 μB/cell

[2]
Below is a relaxed Fe3S4 crystal, with properties calculated at the GGA-PBEsol level. Values from VASP.

```
&SYSTEM
  ibrav = 0, nat = 7, ntyp = 2
/
ATOMIC_SPECIES
S 32.06 S.upf
Fe 55.84 Fe.upf
CELL_PARAMETERS angstrom
3.284 0.000 0.000
1.642 2.844 0.000
1.642 0.948 10.198
ATOMIC_POSITIONS crystal
S 0.872 0.872 0.384
S 0.286 0.286 0.143
S 0.714 0.714 0.857
S 0.128 0.128 0.616
Fe 0.582 0.582 0.254
Fe 0.500 0.500 0.500
Fe 0.418 0.418 0.746
```

E_form (uncorrected): -0.4118 eV/atom
Raw total energy: -47.31 eV for the cell shown
Size of the total moment: 0.600 μB/cell

[3]
Below is a relaxed FeS2 crystal, with properties calculated at the GGA-PBEsol level. Values from VASP.

```
&SYSTEM
  ibrav = 0, nat = 6, ntyp = 2
/
ATOMIC_SPECIES
S 32.06 S.upf
Fe 55.84 Fe.upf
CELL_PARAMETERS angstrom
-0.693 -3.132 -0.931
1.962 -1.504 3.597
-4.630 0.243 2.627
ATOMIC_POSITIONS crystal
S 0.000 0.207 0.374
S 0.500 0.293 0.874
S 0.500 0.707 0.126
S 0.000 0.793 0.626
Fe 0.000 0.000 0.000
Fe 0.500 0.500 0.500
```

E_form (uncorrected): -0.6917 eV/atom
Raw total energy: -39.61 eV for the cell shown
Size of the total moment: 0.001 μB/cell

[4]
Below is a relaxed Fe4S5 crystal, with properties calculated at the GGA-PBEsol level. Values from VASP.

```
&SYSTEM
  ibrav = 0, nat = 18, ntyp = 2
/
ATOMIC_SPECIES
S 32.06 S.upf
Fe 55.84 Fe.upf
CELL_PARAMETERS angstrom
7.687 -0.002 -0.154
-0.001 7.688 -0.088
0.107 0.061 5.096
ATOMIC_POSITIONS crystal
S 0.861 0.548 0.249
S 0.640 0.952 0.249
S 0.548 0.639 0.751
S 0.360 0.048 0.751
S 0.139 0.452 0.751
S 0.250 0.750 0.271
S 0.750 0.250 0.729
S 0.049 0.140 0.249
S 0.452 0.361 0.249
S 0.951 0.860 0.751
Fe 0.042 0.654 0.514
Fe 0.542 0.154 0.486
Fe 0.654 0.458 0.486
Fe 0.458 0.846 0.514
Fe 0.346 0.542 0.514
Fe 0.154 0.958 0.514
Fe 0.846 0.042 0.486
Fe 0.958 0.346 0.486
```

E_form (uncorrected): -0.5213 eV/atom
Raw total energy: -124.93 eV for the cell shown
Size of the total moment: 0.001 μB/cell

[5]
Below is a relaxed ScFeS3 crystal, with properties calculated at the GGA-PBEsol level. Values from VASP.

```
&SYSTEM
  ibrav = 0, nat = 5, ntyp = 3
/
ATOMIC_SPECIES
S 32.06 S.upf
Sc 44.96 Sc.upf
Fe 55.84 Fe.upf
CELL_PARAMETERS angstrom
4.798 0.000 0.000
0.000 4.798 0.000
0.000 0.000 4.798
ATOMIC_POSITIONS crystal
S 0.000 0.000 0.500
S 0.500 0.000 0.000
S 0.000 0.500 0.000
Sc 0.000 0.000 0.000
Fe 0.500 0.500 0.500
```

E_form (uncorrected): 0.0600 eV/atom
Distance to the lowest polymorph of the same formula: 0.5541 eV per atom
Raw total energy: -28.42 eV for the cell shown
Size of the total moment: 4.014 μB/cell

[6]
Below is a relaxed ScFeS3 crystal, with properties calculated at the GGA-PBEsol level. Values from VASP.

```
&SYSTEM
  ibrav = 0, nat = 5, ntyp = 3
/
ATOMIC_SPECIES
S 32.06 S.upf
Fe 55.84 Fe.upf
Sc 44.96 Sc.upf
CELL_PARAMETERS angstrom
-1.948 -2.888 2.696
1.043 -3.276 -2.755
3.811 -0.580 2.132
ATOMIC_POSITIONS crystal
S 0.000 0.000 0.500
S 0.500 0.000 0.000
S 0.000 0.500 0.000
Fe 0.000 0.000 0.000
Sc 0.500 0.500 0.500
```

E_form (uncorrected): -0.4941 eV/atom
Distance to the lowest polymorph of the same formula: 0.0000 eV per atom
Raw total energy: -31.19 eV for the cell shown
Size of the total moment: 2.278 μB/cell